(1)
Compound: SrReN3
Source: Alexandria
Functional: GGA-PBE
Structure: relaxed

Cell: 3.6863 5.7643 6.9906 Å, 90.00 94.73 90.00°
With the nearest neighbours (Å) after each atom.
Element x y z (fractional)
1 Sr 0.0216 0.2500 0.2362  5 N 2.54-2.72
2 Sr 0.9784 0.7500 0.7638  5 N 2.54-2.72
3 Re 0.4669 0.2500 0.7822  4 N 1.90-1.99
4 Re 0.5331 0.7500 0.2178  4 N 1.90-1.99
5 N 0.0072 0.7500 0.1286  2 Re 1.90-1.99
6 N 0.4602 0.0166 0.5873  1 N 1.29
7 N 0.4602 0.4834 0.5873  1 N 1.29
8 N 0.5398 0.5166 0.4127  1 N 1.29
9 N 0.5398 0.9834 0.4127  1 N 1.29
10 N 0.9928 0.2500 0.8714  2 Re 1.90-1.99

Values from the calculation:
The uncorrected formation energy is -0.193 eV per atom. The calculation puts the total magnetic moment at 0.000 μB/cell.

(2)
Compound: MnCuMo2
Source: Alexandria
Functional: GGA-PBE
Structure: relaxed

Cell: 6.0336 6.0336 6.0336 Å, 90.00 90.00 90.00°
With the nearest neighbours (Å) after each atom.
Element x y z (fractional)
1 Mn 0.0000 0.0000 0.0000  8 Mo 2.61
2 Mn 0.0000 0.5000 0.5000  8 Mo 2.61
3 Mn 0.5000 0.0000 0.5000  8 Mo 2.61
4 Mn 0.5000 0.5000 0.0000  8 Mo 2.61
5 Cu 0.0000 0.0000 0.5000  8 Mo 2.61
6 Cu 0.0000 0.5000 0.0000  8 Mo 2.61
7 Cu 0.5000 0.0000 0.0000  8 Mo 2.61
8 Cu 0.5000 0.5000 0.5000  8 Mo 2.61
9 Mo 0.2500 0.2500 0.2500  4 Mn 2.61, 4 Cu 2.61
10 Mo 0.2500 0.2500 0.7500  4 Cu 2.61, 4 Mn 2.61
11 Mo 0.2500 0.7500 0.2500  4 Cu 2.61, 4 Mn 2.61
12 Mo 0.2500 0.7500 0.7500  4 Mn 2.61, 4 Cu 2.61
13 Mo 0.7500 0.2500 0.2500  4 Cu 2.61, 4 Mn 2.61
14 Mo 0.7500 0.2500 0.7500  4 Mn 2.61, 4 Cu 2.61
15 Mo 0.7500 0.7500 0.2500  4 Mn 2.61, 4 Cu 2.61
16 Mo 0.7500 0.7500 0.7500  4 Cu 2.61, 4 Mn 2.61

Values from the calculation:
Its energy above the most stable polymorph in this dataset is 0.179 eV per atom. The value obtained for the formation enthalpy at 0 K is 0.368 eV/atom. The calculation puts the total magnetic moment at 0.001 μB/cell.